(1)
LaSc3 at its PBEsol-relaxed geometry. Source: the Alexandria database, functional SCAN.

a = 5.2836 Å, b = 5.2836 Å, c = 5.2836 Å
α = 60.00°, β = 60.00°, γ = 60.00°
Fractional positions:
Sc (0.7500, 0.7500, 0.7500)
Sc (0.5000, 0.5000, 0.5000)
Sc (0.2500, 0.2500, 0.2500)
La (0.0000, 0.0000, 0.0000)

Computed properties:
Final energy: -21.357 eV per atom
SG: No. 225
Crystal system: cubic
Fermi-level density of states: 4.97 states/eV per cell
Energy of formation: 97 meV per atom



(2)
LaSc at its PBEsol-relaxed geometry. Source: the Alexandria database, functional SCAN.

a = 3.3306 Å, b = 3.3306 Å, c = 5.6709 Å
α = 90.00°, β = 90.00°, γ = 115.90°
Fractional positions:
Sc (0.5000, 0.5000, 0.5000)
La (0.0000, 0.0000, 0.0000)

Computed properties:
Final energy: -28.480 eV per atom
SG: No. 65
Crystal system: orthorhombic
Fermi-level density of states: 3.93 states/eV per cell
Relative energy among the computed polymorphs: 125 meV per atom
Energy of formation: 191 meV per atom